Entry 1:
VASP calculation (PBE) on MnRhPb after structural relaxation.

The formation energy is 0.30 eV per atom. Its volume is 57.55 Å³/cell. Its space group is P3m1.

abc: 3.2166 3.2166 6.4230
angles: 90.00 90.00 120.00
Sites, in units of the cell vectors:
Mn 0.0000 0.0000 0.0000
Rh 0.3333 0.6667 0.7208
Pb 0.6667 0.3333 0.3789


Entry 2:
VASP calculation (PBE) on Sc5NO after structural relaxation.

The calculation puts the uncorrected formation energy at -1.2729 eV per atom. Its volume is 268.17 Å³/cell. Its space group is C2/c.

abc: 6.0057 6.0057 8.5550
angles: 111.10 111.10 85.37
Sites, in units of the cell vectors:
Sc 0.0656 0.9344 0.7500
Sc 0.2176 0.3502 0.6485
Sc 0.2225 0.6965 0.0464
Sc 0.3035 0.7775 0.4536
Sc 0.3502 0.2176 0.1485
Sc 0.6498 0.7824 0.8515
Sc 0.6965 0.2225 0.5464
Sc 0.7775 0.3035 0.9536
Sc 0.7824 0.6498 0.3515
Sc 0.9344 0.0656 0.2500
N 0.0000 0.0000 0.0000
N 0.0000 0.0000 0.5000
O 0.4241 0.5759 0.2500
O 0.5759 0.4241 0.7500